An optimized crystal structure of PmPrDy2Th. Source: Alexandria via LeMat-Bulk, functional PBE.

```
10
Lattice="6.329 0.000 0.000 0.000 5.818 0.000 -3.131 0.000 9.131" Properties=species:S:1:pos:R:3 pbc="T T T"
Pm -1.030 1.455 3.603
Pm 4.229 4.364 5.528
Pr -0.939 1.455 7.388
Pr 4.137 4.364 1.743
Dy 1.008 4.364 0.050
Dy 1.085 4.364 3.709
Dy 2.113 1.455 5.422
Dy 2.190 1.455 9.081
Th 2.014 1.455 1.864
Th 1.184 4.364 7.267
```

M_tot, μB per atom: 0.000
Electronic total energy, eV/atom: -5.17
Volume, A^3/atom: 33.622

=====

An optimized crystal structure of NbV3Hg. Source: Alexandria via LeMat-Bulk, functional PBE.

```
5
Lattice="4.866 0.000 0.000 0.000 4.866 0.000 0.000 0.000 4.866" Properties=species:S:1:pos:R:3 pbc="T T T"
Nb 0.000 0.000 0.000
V 0.000 2.433 2.433
V 2.433 0.000 2.433
V 2.433 2.433 0.000
Hg 2.433 2.433 2.433
```

Polymorph energy (0 for the lowest one), meV/atom: 583
M_tot, μB per atom: 1.247
Volume, A^3/atom: 23.046

=====

An optimized crystal structure of ScAgRu2. Source: Alexandria via LeMat-Bulk, functional PBE.

```
8
Lattice="3.958 0.000 0.000 0.000 3.958 0.000 0.000 0.000 8.344" Properties=species:S:1:pos:R:3 pbc="T T T"
Sc 0.000 0.000 0.000
Sc 1.979 1.979 4.172
Ag 0.000 0.000 4.172
Ag 1.979 1.979 0.000
Ru 0.000 1.979 2.086
Ru 0.000 1.979 6.258
Ru 1.979 0.000 2.086
Ru 1.979 0.000 6.258
```

Polymorph energy (0 for the lowest one), meV/atom: 120
M_tot, μB per atom: 0.332
Volume, A^3/atom: 16.341

=====

An optimized crystal structure of Sn2ClF3. Source: Alexandria via LeMat-Bulk, functional PBE.

```
12
Lattice="7.993 -2.026 0.000 7.993 2.026 0.000 -4.172 0.000 7.549" Properties=species:S:1:pos:R:3 pbc="T T T"
Sn -1.062 0.000 2.290
Sn 1.291 0.000 6.575
Sn 10.524 0.000 0.974
Sn 12.877 0.000 5.259
Cl 3.845 0.000 3.578
Cl 7.970 0.000 3.971
F 0.834 0.000 1.393
F -0.996 0.000 7.459
F 6.622 0.000 0.890
F 5.194 0.000 6.659
F 12.811 0.000 0.090
F 10.981 0.000 6.156
```

M_tot, μB per atom: 0.000
Uncorrected formation energy, meV per atom: -1956.9
Volume, A^3/atom: 20.374

=====

An optimized crystal structure of Ni4IrPd3. Source: Alexandria via LeMat-Bulk, functional PBE.

```
16
Lattice="3.818 0.000 0.000 0.000 3.818 0.000 0.000 0.000 14.498" Properties=species:S:1:pos:R:3 pbc="T T T"
Ni 0.000 1.909 1.775
Ni 0.000 1.909 5.474
Ni 0.000 1.909 9.025
Ni 0.000 1.909 12.723
Ni 1.909 0.000 1.775
Ni 1.909 0.000 5.474
Ni 1.909 0.000 9.025
Ni 1.909 0.000 12.723
Ir 0.000 0.000 0.000
Ir 1.909 1.909 7.249
Pd 0.000 0.000 3.641
Pd 0.000 0.000 7.249
Pd 0.000 0.000 10.857
Pd 1.909 1.909 0.000
Pd 1.909 1.909 3.608
Pd 1.909 1.909 10.890
```

M_tot, μB per atom: 0.555
Electronic total energy, eV/atom: -5.87
Volume, A^3/atom: 13.209

=====

An optimized crystal structure of CoPbAu2. Source: Alexandria via LeMat-Bulk, functional PBE.

```
4
Lattice="4.089 0.000 0.000 0.000 4.089 0.000 0.000 0.000 4.433" Properties=species:S:1:pos:R:3 pbc="T T T"
Co 0.000 0.000 0.000
Pb 2.045 2.045 0.000
Au 0.000 2.045 2.216
Au 2.045 0.000 2.216
```

M_tot, μB per atom: 0.407
Electronic total energy, eV/atom: -4.03
Volume, A^3/atom: 18.532